A plane-wave DFT calculation with PBEsol was carried out for Ti6Si7Ni16 after structural relaxation.

The value obtained for the raw total energy is -7.27 eV/atom. The volume is 11.647 A^3/atom.

a = 7.8170 Å, b = 7.8170 Å, c = 7.8170 Å
α = 60.00°, β = 60.00°, γ = 60.00°
With the nearest neighbours (Å) after each atom.
Element x y z (fractional)
Ti1 0.2017 0.2017 0.7983  8 Ni 2.62-2.72, 4 Si 2.81
Ti2 0.2017 0.7983 0.2017  8 Ni 2.62-2.72, 4 Si 2.81
Ti3 0.2017 0.7983 0.7983  8 Ni 2.62-2.72, 4 Si 2.81
Ti4 0.7983 0.2017 0.2017  8 Ni 2.62-2.72, 4 Si 2.81
Ti5 0.7983 0.2017 0.7983  8 Ni 2.62-2.72, 4 Si 2.81
Ti6 0.7983 0.7983 0.2017  8 Ni 2.62-2.72, 4 Si 2.81
Si1 0.0000 0.0000 0.5000  8 Ni 2.26-2.44
Si2 0.0000 0.5000 0.0000  8 Ni 2.26-2.44
Si3 0.0000 0.5000 0.5000  8 Ni 2.26-2.44
Si4 0.5000 0.0000 0.0000  8 Ni 2.26-2.44
Si5 0.5000 0.0000 0.5000  8 Ni 2.26-2.44
Si6 0.5000 0.5000 0.0000  8 Ni 2.26-2.44
Si7 0.5000 0.5000 0.5000  8 Ni 2.26
Ni1 0.1466 0.6178 0.6178  4 Si 2.26-2.44, 3 Ni 2.51
Ni2 0.1660 0.1660 0.1660  3 Si 2.26, 3 Ni 2.51
Ni3 0.1660 0.1660 0.5020  3 Si 2.26, 3 Ni 2.51
Ni4 0.1660 0.5020 0.1660  3 Si 2.26, 3 Ni 2.51
Ni5 0.3822 0.3822 0.3822  4 Si 2.26-2.44, 3 Ni 2.51
Ni6 0.3822 0.3822 0.8534  4 Si 2.26-2.44, 3 Ni 2.51
Ni7 0.3822 0.8534 0.3822  4 Si 2.26-2.44, 3 Ni 2.51
Ni8 0.4980 0.8340 0.8340  3 Si 2.26, 3 Ni 2.51
Ni9 0.5020 0.1660 0.1660  3 Si 2.26, 3 Ni 2.51
Ni10 0.6178 0.1466 0.6178  4 Si 2.26-2.44, 3 Ni 2.51
Ni11 0.6178 0.6178 0.1466  4 Si 2.26-2.44, 3 Ni 2.51
Ni12 0.6178 0.6178 0.6178  4 Si 2.26-2.44, 3 Ni 2.51
Ni13 0.8340 0.4980 0.8340  3 Si 2.26, 3 Ni 2.51
Ni14 0.8340 0.8340 0.4980  3 Si 2.26, 3 Ni 2.51
Ni15 0.8340 0.8340 0.8340  3 Si 2.26, 3 Ni 2.51
Ni16 0.8534 0.3822 0.3822  4 Si 2.26-2.44, 3 Ni 2.51